# Tb5Er4Mg (PBE, optimized geometry)
# Volume (Å³/atom): 31.67
# Spin magnetization (μB/f.u.): 0.00
# DFT total energy (eV per atom): -4.081
# Energy relative to the lowest polymorph listed for this composition (meV per atom): 218.6
# ΔE_f (eV/atom): 0.22
data_Tb5Er4Mg
_cell_length_a 5.720
_cell_length_b 7.971
_cell_length_c 7.971
_cell_angle_alpha 82.60
_cell_angle_beta 68.97
_cell_angle_gamma 68.97
_space_group_name_H-M_alt 'P 1'
_space_group_IT_number 1
loop_
_space_group_symop_operation_xyz
'x,y,z'
loop_
_atom_site_label
_atom_site_fract_x
_atom_site_fract_y
_atom_site_fract_z
_atom_site_occupancy
Tb1 0.765 0.372 0.000 1
Tb2 0.137 0.000 0.628 1
Tb3 0.765 0.000 0.372 1
Tb4 0.137 0.628 0.000 1
Tb5 0.669 0.000 0.000 1
Er1 0.462 0.322 0.678 1
Er2 0.783 0.678 0.678 1
Er3 0.139 0.322 0.322 1
Er4 0.461 0.678 0.322 1
Mg1 0.192 0.000 0.000 1